# MnPtF5, optimized geometry, DFT PBE+U
data_MnPtF5
_cell_length_a 9.0950
_cell_length_b 6.2450
_cell_length_c 8.4181
_cell_angle_alpha 90.00
_cell_angle_beta 118.09
_cell_angle_gamma 90.00
_space_group_name_H-M_alt 'C 1 2/c 1'
_space_group_IT_number 15
loop_
_space_group_symop_operation_xyz
'x,y,z'
'-x,-y,-z'
'-x,y,-z+1/2'
'x,-y,z+1/2'
'x+1/2,y+1/2,z'
'-x+1/2,-y+1/2,-z'
'-x+1/2,y+1/2,-z+1/2'
'x+1/2,-y+1/2,z+1/2'
loop_
_atom_site_label
_atom_site_type_symbol
_atom_site_fract_x
_atom_site_fract_y
_atom_site_fract_z
Mn1 Mn 0.0000 0.0284 0.2500
Pt1 Pt 0.0000 0.5000 0.0000
F1 F 0.0000 0.3760 0.2500
F2 F 0.0316 0.1916 0.9581
F3 F 0.2457 0.4547 0.6452
# uncorrected energy	-0.186	Ha/atom